[1]
A plane-wave DFT calculation with GGA-PBE was carried out for a geometry-optimized Pm3Y3Er8 structure.

abc: 5.619 9.628 9.628
angles: 101.27 73.03 73.03
Atoms (fractional coordinates):
1 Pm 0.000 0.184 0.816
2 Y 0.797 0.203 0.203
3 Er 0.660 0.118 0.562
4 Er 0.340 0.438 0.882
5 Er 0.844 0.760 0.553
6 Er 0.844 0.553 0.760
7 Er 0.660 0.562 0.118
8 Pm 0.000 0.816 0.184
9 Y 0.203 0.797 0.797
10 Er 0.156 0.447 0.240
11 Y 0.500 0.500 0.500
12 Pm 0.500 0.000 0.000
13 Er 0.156 0.240 0.447
14 Er 0.340 0.882 0.438

Results
space-group type = Immm, No. 71
magnetic moment = 0.00 μB per cell
VASP energy = -68.557 eV/cell
calculated formation energy = 0.11 eV/atom

[2]
A plane-wave DFT calculation with GGA-PBE was carried out for a geometry-optimized CdTeAu2 structure.

abc: 5.511 5.511 5.511
angles: 133.72 133.69 67.55
Atoms (fractional coordinates):
1 Cd 0.499 0.499 0.000
2 Te 0.249 0.749 0.500
3 Au 0.000 0.000 0.000
4 Au 0.752 0.252 0.500

Results
ΔE_f (raw) = 0.32 eV per formula unit
space-group type = Imm2, No. 44
magnetic moment = 0.00 μB per cell
VASP energy = -10.294 eV/cell
polymorph energy (0 for the lowest one) = 159 meV per atom

[3]
A plane-wave DFT calculation with GGA-PBE was carried out for a geometry-optimized LaTeP2Ru structure.

abc: 5.389 6.105 5.389
angles: 90.00 90.00 90.00
Atoms (fractional coordinates):
1 P 0.000 0.000 0.500
2 Te 0.000 0.500 0.000
3 Ru 0.500 0.500 0.500
4 P 0.500 0.000 0.000
5 La 0.000 0.000 0.000

Results
ΔE_f (raw) = 6.87 eV per formula unit
space-group type = P4/mmm, No. 123
magnetic moment = 2.26 μB per cell
VASP energy = -21.295 eV/cell

Look up the magnetic moment of the second one.
0.00 μB per cell

Which value of magnetic moment does entry 3 give?
2.26 μB per cell

Number 3 is which compound?
LaTeP2Ru

magnetic moment of number 2 (CdTeAu2)?
0.00 μB per cell